A.
Computed, not measured: TbNdBi2 after structural relaxation at the PBE-GGA level of DFT.

Geometry as CIF:
```
data_TbNdBi2
_cell_length_a 4.5413
_cell_length_b 4.5413
_cell_length_c 15.0412
_cell_angle_alpha 90.00
_cell_angle_beta 90.00
_cell_angle_gamma 120.00
_space_group_name_H-M_alt 'P 63/m m c'
_space_group_IT_number 194
_space_group_name_Hall '-P 6c 2c'
loop_
_atom_site_label
_atom_site_type_symbol
_atom_site_fract_x
_atom_site_fract_y
_atom_site_fract_z
_atom_site_occupancy
Tb1 Tb 0.3333 0.6667 0.2500 1
Nd1 Nd 0.0000 0.0000 0.0000 1
Bi1 Bi 0.3333 0.6667 0.6261 1
```

***

B.
Computed, not measured: TbNdBi2 after structural relaxation at the PBE-GGA level of DFT.

Geometry as CIF:
```
data_TbNdBi2
_cell_length_a 4.5180
_cell_length_b 4.5180
_cell_length_c 23.2093
_cell_angle_alpha 90.00
_cell_angle_beta 90.00
_cell_angle_gamma 120.00
_space_group_name_H-M_alt 'R 3 m'
_space_group_IT_number 160
_space_group_name_Hall 'R 3 -2"'
loop_
_atom_site_label
_atom_site_type_symbol
_atom_site_fract_x
_atom_site_fract_y
_atom_site_fract_z
_atom_site_occupancy
Tb1 Tb 0.0000 0.0000 0.0000 1
Nd1 Nd 0.0000 0.0000 0.8291 1
Bi1 Bi 0.0000 0.0000 0.2489 1
Bi2 Bi 0.0000 0.0000 0.4137 1
```

***

The structure shown above that is least stable: B.